Record 1
Here is an optimized crystal structure of CaZr2W from Alexandria via LeMat-Bulk. Energies are from PBE.

Computed properties:
formation energy: 544 meV per atom
energy above the most stable polymorph in this dataset: 329 meV per atom

Geometry as CIF:
```
data_CaZr2W
_cell_length_a 5.570
_cell_length_b 3.027
_cell_length_c 10.745
_cell_angle_alpha 90.00
_cell_angle_beta 95.31
_cell_angle_gamma 90.00
_symmetry_space_group_name_H-M 'C 1 m 1'
_symmetry_Int_Tables_number 8
_symmetry_space_group_name_Hall 'C -2y'
loop_
_atom_site_label
_atom_site_type_symbol
_atom_site_fract_x
_atom_site_fract_y
_atom_site_fract_z
Ca1 Ca 0.000 0.000 0.000
Zr1 Zr 0.047 0.500 0.462
Zr2 Zr 0.283 0.000 0.712
W1 W 0.237 0.500 0.239
```

=====

Record 2
Here is an optimized crystal structure of TaAu2Br from Alexandria via LeMat-Bulk. Energies are from PBE.

Computed properties:
energy relative to the elements, uncorrected: 0.044 eV/atom
energy above the most stable polymorph in this dataset: 42 meV per atom

Geometry as CIF:
```
data_TaAu2Br
_cell_length_a 3.007
_cell_length_b 4.639
_cell_length_c 14.126
_cell_angle_alpha 90.00
_cell_angle_beta 90.00
_cell_angle_gamma 90.00
_symmetry_space_group_name_H-M 'I m m 2'
_symmetry_Int_Tables_number 44
_symmetry_space_group_name_Hall 'I 2 -2'
loop_
_atom_site_label
_atom_site_type_symbol
_atom_site_fract_x
_atom_site_fract_y
_atom_site_fract_z
Ta1 Ta 0.000 0.000 0.000
Au1 Au 0.000 0.000 0.549
Au2 Au 0.000 0.500 0.669
Br1 Br 0.000 0.500 0.349
```

=====

Record 3
Here is an optimized crystal structure of Cs4BiBr6 from Alexandria via LeMat-Bulk. Energies are from PBE.

Computed properties:
energy relative to the elements, uncorrected: -1.384 eV/atom

Geometry as CIF:
```
data_Cs4BiBr6
_cell_length_a 9.927
_cell_length_b 9.927
_cell_length_c 10.058
_cell_angle_alpha 90.00
_cell_angle_beta 90.00
_cell_angle_gamma 90.00
_symmetry_space_group_name_H-M 'P 4/m n c'
_symmetry_Int_Tables_number 128
_symmetry_space_group_name_Hall '-P 4 2n'
loop_
_atom_site_label
_atom_site_type_symbol
_atom_site_fract_x
_atom_site_fract_y
_atom_site_fract_z
Cs1 Cs 0.164 0.336 0.250
Bi1 Bi 0.000 0.000 0.000
Br1 Br 0.000 0.000 0.287
Br2 Br 0.107 0.689 0.000
```

=====

Record 4
Here is an optimized crystal structure of Ho8Ga2Tc from Alexandria via LeMat-Bulk. Energies are from PBE.

Computed properties:
formation energy: -148 meV per atom
energy above the most stable polymorph in this dataset: 89 meV per atom

Geometry as CIF:
```
data_Ho8Ga2Tc
_cell_length_a 4.894
_cell_length_b 8.222
_cell_length_c 14.116
_cell_angle_alpha 90.00
_cell_angle_beta 90.00
_cell_angle_gamma 90.00
_symmetry_space_group_name_H-M 'I m m m'
_symmetry_Int_Tables_number 71
_symmetry_space_group_name_Hall '-I 2 2'
loop_
_atom_site_label
_atom_site_type_symbol
_atom_site_fract_x
_atom_site_fract_y
_atom_site_fract_z
Ho1 Ho 0.000 0.000 0.125
Ho2 Ho 0.000 0.227 0.344
Ho3 Ho 0.000 0.321 0.000
Ga1 Ga 0.000 0.500 0.192
Tc1 Tc 0.000 0.500 0.500
```

=====

| no. | total energy (eV per atom) | total magnetic moment (μB/cell) |
| --- | --- | --- |
| 1 | -7.47 | 0.00 |
| 2 | -4.98 | 0.00 |
| 3 | -2.96 | 2.02 |
| 4 | -4.97 | 0.00 |